[1]
The following is a DFT calculation (GGA-PBE) of a relaxed ZrFeBr crystal.

Cell: 4.1812 4.1812 3.2843 Å, 90.00 90.00 120.00°
Sites, in units of the cell vectors:
Zr  0.3333  0.6667  0.6659
Fe  0.6667  0.3333  0.1682
Br  0.0000  0.0000  0.1659

[2]
The following is a DFT calculation (GGA-PBE) of a relaxed ZrFeBr crystal.

Cell: 4.5624 4.5624 4.5624 Å, 60.00 60.00 60.00°
Sites, in units of the cell vectors:
Fe  0.5000  0.5000  0.5000
Zr  0.7500  0.7500  0.7500
Br  0.0000  0.0000  0.0000

[3]
The following is a DFT calculation (GGA-PBE) of a relaxed Zr2FeBr crystal.

Cell: 3.5685 3.5646 6.8090 Å, 90.00 90.00 90.00°
Sites, in units of the cell vectors:
Zr  0.5000  0.5000  0.2320
Fe  0.5000  0.5000  0.8795
Br  0.0000  0.0000  0.4757
Zr  0.0000  0.0000  0.9128

Number 1: DFT total energy -6.057 eV/atom. Number 2: DFT total energy -5.691 eV/atom. Number 3: DFT total energy -6.843 eV/atom.